No. 1
Below is a relaxed structure of Sm3Tl4CdTe8, with properties calculated at the PBE-GGA level.

Computed properties:
SG: R-3m
formation energy without anion corrections: -0.838 eV/atom
density of states at the Fermi level: 8.15 states/eV/f.u.

Cell lengths 9.5350, 9.5350, 9.5350 Å; angles 56.47, 56.47, 56.47 degrees
Closest atoms and distances in Å follow each position.
Element x y z (fractional)
Sm 0.0000 0.5000 0.5000  6 Te 3.15
Sm 0.5000 0.0000 0.5000  6 Te 3.15
Sm 0.5000 0.5000 0.0000  6 Te 3.15
Tl 0.0000 0.0000 0.5000  6 Te 3.42-3.43
Tl 0.0000 0.5000 0.0000  6 Te 3.42-3.43
Tl 0.5000 0.0000 0.0000  6 Te 3.42-3.43
Tl 0.5000 0.5000 0.5000  6 Te 3.46
Cd 0.0000 0.0000 0.0000  6 Te 3.11
Te 0.2378 0.2378 0.7433  1 Cd 3.11, 2 Sm 3.15, 3 Tl 3.43-3.46
Te 0.2378 0.7433 0.2378  1 Cd 3.11, 2 Sm 3.15, 3 Tl 3.43-3.46
Te 0.2567 0.7622 0.7622  1 Cd 3.11, 2 Sm 3.15, 3 Tl 3.43-3.46
Te 0.2593 0.2593 0.2593  3 Sm 3.15, 3 Tl 3.42
Te 0.7407 0.7407 0.7407  3 Sm 3.15, 3 Tl 3.42
Te 0.7433 0.2378 0.2378  1 Cd 3.11, 2 Sm 3.15, 3 Tl 3.43-3.46
Te 0.7622 0.2567 0.7622  1 Cd 3.11, 2 Sm 3.15, 3 Tl 3.43-3.46
Te 0.7622 0.7622 0.2567  1 Cd 3.11, 2 Sm 3.15, 3 Tl 3.43-3.46

***

No. 2
Below is a relaxed structure of NbCoNiPd, with properties calculated at the PBE-GGA level.

Computed properties:
SG: F-43m
calculated formation energy: -121.4 meV/atom
density of states at the Fermi level: 2.03 states/eV/f.u.

Cell lengths 4.2513, 4.2513, 4.2513 Å; angles 60.00, 60.00, 60.00 degrees
Closest atoms and distances in Å follow each position.
Element x y z (fractional)
Nb 0.0000 0.0000 0.0000  4 Co 2.60, 4 Ni 2.60
Co 0.2500 0.2500 0.2500  4 Pd 2.60, 4 Nb 2.60
Ni 0.7500 0.7500 0.7500  4 Nb 2.60, 4 Pd 2.60
Pd 0.5000 0.5000 0.5000  4 Ni 2.60, 4 Co 2.60

***

No. 3
Below is a relaxed structure of HfGeMo, with properties calculated at the PBE-GGA level.

Computed properties:
SG: P-62m
calculated formation energy: -480.9 meV/atom
density of states at the Fermi level: 3.52 states/eV/f.u.

Cell lengths 7.1718, 7.1718, 3.4988 Å; angles 90.00, 90.00, 120.00 degrees
Closest atoms and distances in Å follow each position.
Element x y z (fractional)
Hf 0.0000 0.3933 0.0000  5 Ge 2.82, 6 Mo 3.04
Hf 0.3933 0.0000 0.0000  5 Ge 2.82, 6 Mo 3.04
Hf 0.6067 0.6067 0.0000  5 Ge 2.82, 6 Mo 3.04
Ge 0.0000 0.0000 0.0000  6 Mo 2.56, 3 Hf 2.82
Ge 0.3333 0.6667 0.5000  3 Mo 2.69, 6 Hf 2.82
Ge 0.6667 0.3333 0.5000  3 Mo 2.69, 6 Hf 2.82
Mo 0.0000 0.7395 0.5000  4 Ge 2.56-2.69
Mo 0.2605 0.2605 0.5000  4 Ge 2.56-2.69
Mo 0.7395 0.0000 0.5000  4 Ge 2.56-2.69

***

No. 4
Below is a relaxed structure of Mg2Cd2Pd5, with properties calculated at the PBE-GGA level.

Computed properties:
SG: P-1
calculated formation energy: -414.3 meV/atom
energy above the most stable polymorph in this dataset: 0 meV/atom
density of states at the Fermi level: 2.86 states/eV/f.u.

Cell lengths 4.3730, 5.5301, 7.1698 Å; angles 107.20, 107.53, 90.00 degrees
Closest atoms and distances in Å follow each position.
Element x y z (fractional)
Mg 0.1030 0.4192 0.2056  8 Pd 2.66-2.82
Mg 0.8970 0.5808 0.7944  8 Pd 2.66-2.82
Cd 0.2989 0.1929 0.6000  8 Pd 2.74-2.84, 1 Mg 3.06, 1 Cd 3.06
Cd 0.7011 0.8071 0.4000  8 Pd 2.74-2.84, 1 Mg 3.06, 1 Cd 3.06
Pd 0.0900 0.9110 0.1755  3 Mg 2.68-2.79, 3 Cd 2.83-2.84, 1 Pd 2.86
Pd 0.3137 0.7054 0.6266  3 Mg 2.66-2.82, 4 Cd 2.76-2.84
Pd 0.5000 0.5000 0.0000  4 Mg 2.71-2.72, 2 Cd 2.74
Pd 0.6863 0.2947 0.3734  3 Mg 2.66-2.82, 4 Cd 2.76-2.84
Pd 0.9100 0.0890 0.8245  3 Mg 2.68-2.79, 3 Cd 2.83-2.84, 1 Pd 2.86